Entry a
First-principles (PBE-GGA) data for a relaxed structure of AlRe2As, as listed in Alexandria.

It has space group I-4m2 (No. 119), with a = 3.969 Å, b = 3.969 Å, c = 7.637 Å, α = 90.00°, β = 90.00° and γ = 90.00°. The distinct sites, in fractional coordinates, are Al at (0.000, 0.000, 0.000), Re at (0.000, 0.000, 0.500), Re at (0.000, 0.500, 0.250) and As at (0.000, 0.500, 0.750).

Entry b
First-principles (PBE-GGA) data for a relaxed structure of AlRe2As, as listed in Alexandria.

It has space group P4/mmm (No. 123), with a = 3.051 Å, b = 3.051 Å, c = 6.245 Å, α = 90.00°, β = 90.00° and γ = 90.00°. The distinct sites, in fractional coordinates, are Al at (0.000, 0.000, 0.000), Re at (0.500, 0.500, 0.259) and As at (0.000, 0.000, 0.500).

Which of them is most stable? Easy: entry b.

Entry a
First-principles (PBE-GGA) data for a relaxed structure of AlRe2As, as listed in Alexandria.

It has space group Cmmm (No. 65), with a = 3.021 Å, b = 4.949 Å, c = 8.238 Å, α = 90.00°, β = 90.00° and γ = 90.00°. The distinct sites, in fractional coordinates, are Al at (0.000, 0.000, 0.000), Re at (0.000, 0.500, 0.259) and As at (0.000, 0.000, 0.500).

Entry b
First-principles (PBE-GGA) data for a relaxed structure of AlRe2As, as listed in Alexandria.

It has space group R3m (No. 160, hexagonal axes), with a = 2.9454 Å, b = 2.9454 Å, c = 24.6916 Å, α = 90.00°, β = 90.00° and γ = 120.00°. The distinct sites, in fractional coordinates, are Al at (0.0000, 0.0000, 0.0000), Re at (0.0000, 0.0000, 0.4999), Re at (0.0000, 0.0000, 0.7481) and As at (0.0000, 0.0000, 0.2444).

Entry c
First-principles (PBE-GGA) data for a relaxed structure of AlRe2As, as listed in Alexandria.

It has space group R-3m (No. 166, hexagonal axes), with a = 2.8960 Å, b = 2.8960 Å, c = 24.8551 Å, α = 90.00°, β = 90.00° and γ = 120.00°. The distinct sites, in fractional coordinates, are Al at (0.0000, 0.0000, 0.0000), Re at (0.0000, 0.0000, 0.2459) and As at (0.0000, 0.0000, 0.5000).

Entry d
First-principles (PBE-GGA) data for a relaxed structure of AlRe2As, as listed in Alexandria.

It has space group P2/m (No. 10), with a = 2.916 Å, b = 3.898 Å, c = 5.504 Å, α = 90.00°, β = 102.95° and γ = 90.00°. The distinct sites, in fractional coordinates, are Al at (0.000, 0.000, 0.000), Re at (0.363, 0.500, 0.737) and As at (0.000, 0.000, 0.500).

Which of them is most stable? Easy: entry b.

Entry a
First-principles (PBE-GGA) data for a relaxed structure of AlRe2As, as listed in Alexandria.

It has space group C2/m (No. 12), with a = 5.753 Å, b = 8.225 Å, c = 2.898 Å, α = 90.00°, β = 117.19° and γ = 90.00°. The distinct sites, in fractional coordinates, are Al at (0.000, 0.000, 0.000), Re at (0.250, 0.250, 0.500) and As at (0.000, 0.500, 0.000).

Entry b
First-principles (PBE-GGA) data for a relaxed structure of AlRe2As, as listed in Alexandria.

It has space group Cm (No. 8), with a = 8.899 Å, b = 3.079 Å, c = 4.541 Å, α = 90.00°, β = 108.03° and γ = 90.00°. The distinct sites, in fractional coordinates, are Al at (0.000, 0.000, 0.000), Re at (0.006, 0.500, 0.496), Re at (0.253, 0.000, 0.844) and As at (0.257, 0.500, 0.308).

Entry c
First-principles (PBE-GGA) data for a relaxed structure of AlRe2As, as listed in Alexandria.

It has space group Pmmm (No. 47), with a = 3.070 Å, b = 4.117 Å, c = 4.813 Å, α = 90.00°, β = 90.00° and γ = 90.00°. The distinct sites, in fractional coordinates, are Al at (0.000, 0.000, 0.000), Re at (0.000, 0.500, 0.500), Re at (0.500, 0.500, 0.000) and As at (0.500, 0.000, 0.500).

Entry d
First-principles (PBE-GGA) data for a relaxed structure of AlRe2As, as listed in Alexandria.

It has space group Fm-3m (No. 225), with a = 6.143 Å, b = 6.143 Å, c = 6.143 Å, α = 90.00°, β = 90.00° and γ = 90.00°. The distinct sites, in fractional coordinates, are Al at (0.000, 0.000, 0.000), Re at (0.250, 0.250, 0.250) and As at (0.000, 0.000, 0.500).

Which of them is most stable? Easy: entry b.

Entry a
First-principles (PBE-GGA) data for a relaxed structure of AlReAs2Se, as listed in Alexandria.

It has space group P4/mmm (No. 123), with a = 4.691 Å, b = 4.691 Å, c = 5.569 Å, α = 90.00°, β = 90.00° and γ = 90.00°. The distinct sites, in fractional coordinates, are Al at (0.000, 0.000, 0.000), Re at (0.500, 0.500, 0.500), As at (0.000, 0.500, 0.500) and Se at (0.500, 0.500, 0.000).

Entry b
First-principles (PBE-GGA) data for a relaxed structure of AlReAs2Se, as listed in Alexandria.

It has space group P4/mmm (No. 123), with a = 4.749 Å, b = 4.749 Å, c = 4.789 Å, α = 90.00°, β = 90.00° and γ = 90.00°. The distinct sites, in fractional coordinates, are Al at (0.000, 0.000, 0.000), Re at (0.500, 0.500, 0.500), As at (0.000, 0.500, 0.000) and Se at (0.000, 0.000, 0.500).

Which of them is most stable? Easy: entry a.

Entry a
First-principles (PBE-GGA) data for a relaxed structure of Al2AsRh2, as listed in Alexandria.

It has space group P4/mbm (No. 127), with a = 7.249 Å, b = 7.249 Å, c = 2.893 Å, α = 90.00°, β = 90.00° and γ = 90.00°. The distinct sites, in fractional coordinates, are Al at (0.143, 0.357, 0.000), As at (0.000, 0.000, 0.500) and Rh at (0.152, 0.652, 0.500).

Entry b
First-principles (PBE-GGA) data for a relaxed structure of Al2AsRh2, as listed in Alexandria.

It has space group P4/mbm (No. 127), with a = 7.294 Å, b = 7.294 Å, c = 2.885 Å, α = 90.00°, β = 90.00° and γ = 90.00°. The distinct sites, in fractional coordinates, are Al at (0.137, 0.363, 0.000), As at (0.000, 0.000, 0.000) and Rh at (0.155, 0.655, 0.500).

Which of them is most stable? Easy: entry a.

Entry a
First-principles (PBE-GGA) data for a relaxed structure of Al3AsRh, as listed in Alexandria.

It has space group Pm-3m (No. 221), with a = 4.722 Å, b = 4.722 Å, c = 4.722 Å, α = 90.00°, β = 90.00° and γ = 90.00°. The distinct sites, in fractional coordinates, are Al at (0.000, 0.000, 0.500), As at (0.000, 0.000, 0.000) and Rh at (0.500, 0.500, 0.500).

Entry b
First-principles (PBE-GGA) data for a relaxed structure of Al3AsRh, as listed in Alexandria.

It has space group Pm-3m (No. 221), with a = 4.683 Å, b = 4.683 Å, c = 4.683 Å, α = 90.00°, β = 90.00° and γ = 90.00°. The distinct sites, in fractional coordinates, are Al at (0.000, 0.000, 0.500), As at (0.500, 0.500, 0.500) and Rh at (0.000, 0.000, 0.000).

Which of them is most stable? Easy: entry b.